The following is a DFT calculation (GGA-PBE) of ScBeFeGe after structural relaxation.

Lattice parameters (Å, degrees): 4.2041 4.2041 4.2041 60.00 60.00 60.00
Atoms (fractional coordinates):
Be  0.5000  0.5000  0.5000
Sc  0.2500  0.2500  0.2500
Ge  0.0000  0.0000  0.0000
Fe  0.7500  0.7500  0.7500

Calculated values
- Total DFT energy (no corrections): -23.7 eV per cell
- Distance to the lowest polymorph of the same formula: 0.000 eV per atom